Below is a geometry-optimized Li3TbDy2Pb3 structure, with properties calculated at the PBE level.

a b c (Å): 4.770 4.770 10.932
angles (deg): 90.00 90.00 120.00
Fractional positions:
Dy1 0.333 0.667 0.336
Dy2 0.333 0.667 0.664
Li1 0.000 0.000 0.190
Li2 0.667 0.333 0.500
Li3 0.000 0.000 0.810
Pb1 0.667 0.333 0.173
Pb2 0.000 0.000 0.500
Pb3 0.667 0.333 0.827
Tb1 0.333 0.667 0.000

Computed properties:
E_tot (eV/atom): -3.88
SG: P-6m2 (187)

Below is a geometry-optimized Gd2CClF structure, with properties calculated at the PBE level.

a b c (Å): 3.702 3.702 7.955
angles (deg): 90.00 90.00 120.00
Fractional positions:
C1 0.000 0.000 0.486
Cl1 0.667 0.333 0.882
F1 0.333 0.667 0.182
Gd1 0.667 0.333 0.301
Gd2 0.333 0.667 0.649

Computed properties:
E_tot (eV/atom): -6.38
SG: P3m1 (156)

Below is a geometry-optimized TaFeSnW structure, with properties calculated at the PBE level.

a b c (Å): 4.525 4.525 4.525
angles (deg): 60.00 60.00 60.00
Fractional positions:
Fe1 0.750 0.750 0.750
Sn1 0.000 0.000 0.000
Ta1 0.500 0.500 0.500
W1 0.250 0.250 0.250

Computed properties:
E_tot (eV/atom): -9.02
SG: F-43m (216)

Below is a geometry-optimized Gd3Te2S structure, with properties calculated at the PBE level.

a b c (Å): 4.179 4.179 10.766
angles (deg): 90.00 90.00 120.00
Fractional positions:
Gd1 0.667 0.333 0.132
Gd2 0.000 0.000 0.500
Gd3 0.333 0.667 0.868
S1 0.000 0.000 0.000
Te1 0.333 0.667 0.319
Te2 0.667 0.333 0.681

Computed properties:
E_tot (eV/atom): -5.61
SG: P-3m1 (164)

Below is a geometry-optimized CsHoTmTe3 structure, with properties calculated at the PBE level.

a b c (Å): 9.117 9.117 11.822
angles (deg): 90.00 90.00 150.34
Fractional positions:
Cs1 0.744 0.256 0.250
Cs2 0.256 0.744 0.750
Ho1 0.000 0.000 0.000
Ho2 0.000 0.000 0.500
Te1 0.380 0.620 0.042
Te2 0.064 0.936 0.250
Te3 0.380 0.620 0.458
Te4 0.620 0.380 0.542
Te5 0.936 0.064 0.750
Te6 0.620 0.380 0.958
Tm1 0.465 0.535 0.250
Tm2 0.535 0.465 0.750

Computed properties:
E_tot (eV/atom): -4.44
SG: Cmcm (63)

Below is a geometry-optimized BaMg2ZnGa structure, with properties calculated at the PBE level.

a b c (Å): 6.688 6.688 6.688
angles (deg): 138.30 138.30 60.44
Fractional positions:
Ba1 0.002 0.002 0.000
Ga1 0.613 0.613 0.000
Mg1 0.747 0.247 0.500
Mg2 0.247 0.747 0.500
Zn1 0.390 0.390 0.000

Computed properties:
E_tot (eV/atom): -2.11
SG: I4mm (107)